## PrNp2RhN4 (PBE-GGA)

Data for crystalline PrNp2RhN4 at its relaxed geometry.

Values from the calculation:
Fermi-level density of states = 44.3 states/eV/cell
Magnetization = 4.521 μB per formula unit
Formation energy from raw total energies = -0.91 eV per atom
Final energy = -314.52 eV/cell

Lattice parameters (Å, degrees): 3.483 11.459 11.659 90.00 90.00 90.00
Space group Cmcm (No. 63)
Unique sites:
Pr1 0.000 0.106 0.250
Np1 0.000 0.371 0.056
Rh1 0.000 0.156 0.750
N1 0.000 0.000 0.000
N2 0.000 0.266 0.600
N3 0.000 0.450 0.250